This record from the Alexandria database describes Ac8Pr6Dy after structural relaxation. The functional is PBE.

Computed properties:
Formation energy from the elements: 0.2241 eV per atom
Magnetic moment: 0.0 Bohr magnetons per cell
Volume: 647 Å³ per cell

Cell: 9.290 9.290 9.290 Å, 66.57 66.57 66.57°
Positions (direct):
Ac  0.175  0.590  0.864
Ac  0.136  0.825  0.410
Ac  0.410  0.136  0.825
Ac  0.734  0.734  0.734
Ac  0.266  0.266  0.266
Ac  0.590  0.864  0.175
Ac  0.864  0.175  0.590
Ac  0.825  0.410  0.136
Pr  0.064  0.371  0.679
Pr  0.321  0.936  0.629
Pr  0.629  0.321  0.936
Pr  0.371  0.679  0.064
Pr  0.679  0.064  0.371
Pr  0.936  0.629  0.321
Dy  0.000  0.000  0.000

This record from the Alexandria database describes Ac15Pr4Dy after structural relaxation. The functional is PBE.

Computed properties:
Formation energy from the elements: 0.0248 eV per atom
Magnetic moment: 0.0 Bohr magnetons per cell
Volume: 849 Å³ per cell

Cell: 5.544 5.544 27.626 Å, 90.00 90.00 90.00°
Positions (direct):
Ac  0.500  0.500  0.000
Ac  0.500  0.500  0.199
Ac  0.500  0.500  0.400
Ac  0.500  0.500  0.600
Ac  0.500  0.500  0.801
Ac  0.500  0.000  0.098
Ac  0.500  0.000  0.299
Ac  0.500  0.000  0.500
Ac  0.500  0.000  0.701
Ac  0.500  0.000  0.902
Ac  0.000  0.500  0.098
Ac  0.000  0.500  0.299
Ac  0.000  0.500  0.500
Ac  0.000  0.500  0.701
Ac  0.000  0.500  0.902
Pr  0.000  0.000  0.199
Pr  0.000  0.000  0.400
Pr  0.000  0.000  0.600
Pr  0.000  0.000  0.801
Dy  0.000  0.000  0.000

This record from the Alexandria database describes Ac2PrDy after structural relaxation. The functional is PBE.

Computed properties:
Formation energy from the elements: 0.0504 eV per atom
Magnetic moment: 0.0 Bohr magnetons per cell
Volume: 156 Å³ per cell

Cell: 3.835 3.835 12.465 Å, 81.15 81.15 60.00°
Positions (direct):
Ac  0.082  0.082  0.755
Ac  0.252  0.252  0.245
Pr  0.499  0.499  0.503
Dy  0.667  0.667  0.998

This record from the Alexandria database describes Ac2Pr5Dy after structural relaxation. The functional is PBE.

Computed properties:
Formation energy from the elements: 0.0234 eV per atom
Magnetic moment: 0.0 Bohr magnetons per cell
Volume: 600 Å³ per cell

Cell: 5.315 7.503 15.043 Å, 90.00 90.00 90.00°
Positions (direct):
Ac  0.500  0.248  0.624
Ac  0.500  0.752  0.376
Ac  0.500  0.252  0.124
Ac  0.500  0.748  0.876
Pr  0.000  0.000  0.000
Pr  0.000  0.500  0.500
Pr  0.000  0.498  0.752
Pr  0.000  0.502  0.248
Pr  0.000  0.002  0.252
Pr  0.000  0.998  0.748
Pr  0.500  0.250  0.876
Pr  0.500  0.750  0.124
Pr  0.500  0.250  0.376
Pr  0.500  0.750  0.624
Dy  0.000  0.000  0.500
Dy  0.000  0.500  0.000

This record from the Alexandria database describes AcPr12Dy3 after structural relaxation. The functional is PBE.

Computed properties:
Formation energy from the elements: 0.0175 eV per atom
Magnetic moment: 0.0 Bohr magnetons per cell
Volume: 572 Å³ per cell

Cell: 5.230 5.230 20.910 Å, 90.00 90.00 90.00°
Positions (direct):
Ac  0.000  0.000  0.000
Pr  0.500  0.500  0.000
Pr  0.500  0.500  0.255
Pr  0.500  0.500  0.500
Pr  0.500  0.500  0.745
Pr  0.500  0.000  0.131
Pr  0.500  0.000  0.377
Pr  0.500  0.000  0.623
Pr  0.500  0.000  0.869
Pr  0.000  0.500  0.131
Pr  0.000  0.500  0.377
Pr  0.000  0.500  0.623
Pr  0.000  0.500  0.869
Dy  0.000  0.000  0.254
Dy  0.000  0.000  0.500
Dy  0.000  0.000  0.746

This record from the Alexandria database describes AcPr2Dy after structural relaxation. The functional is PBE.

Computed properties:
Formation energy from the elements: 0.0232 eV per atom
Magnetic moment: 0.0 Bohr magnetons per cell
Volume: 147 Å³ per cell

Cell: 3.771 7.427 6.423 Å, 54.68 90.00 90.00°
Positions (direct):
Ac  0.500  0.000  0.500
Pr  0.000  0.000  0.000
Pr  0.000  0.500  0.000
Dy  0.500  0.500  0.500

This record from the Alexandria database describes Ac2Pr2Dy7 after structural relaxation. The functional is PBE.

Computed properties:
Formation energy from the elements: 0.1308 eV per atom
Magnetic moment: 0.0 Bohr magnetons per cell
Volume: 390 Å³ per cell

Cell: 3.734 10.751 10.751 Å, 67.71 100.05 100.06°
Positions (direct):
Ac  0.306  0.807  0.807
Ac  0.694  0.193  0.193
Pr  0.500  0.250  0.750
Pr  0.500  0.750  0.250
Dy  0.168  0.434  0.902
Dy  0.832  0.098  0.566
Dy  0.832  0.566  0.098
Dy  0.168  0.902  0.434
Dy  0.392  0.389  0.389
Dy  0.000  0.000  0.000
Dy  0.608  0.611  0.611

This record from the Alexandria database describes Ac2Pr5Dy after structural relaxation. The functional is PBE.

Computed properties:
Formation energy from the elements: 0.0268 eV per atom
Magnetic moment: 0.0 Bohr magnetons per cell
Volume: 301 Å³ per cell

Cell: 5.341 5.341 11.217 Å, 103.77 103.77 90.00°
Positions (direct):
Ac  0.750  0.750  0.500
Ac  0.250  0.250  0.500
Pr  0.500  0.500  0.000
Pr  0.381  0.881  0.762
Pr  0.881  0.381  0.762
Pr  0.619  0.119  0.238
Pr  0.119  0.619  0.238
Dy  0.000  0.000  0.000